Entry 1:
LiInSn (PBE, relaxed); formation energy = -0.15 eV/atom; space-group type = C2, No. 5; final energy = -0.11164 Ha/atom; density of states at the Fermi level = 3.8 states/eV per cell
1.0
18.057 0.000 0.037
5.442 4.426 -1.759
-5.442 4.426 1.759
Li Sn In
4 4 4
Direct
0.095 0.419 0.398
0.905 0.398 0.419
0.309 0.720 0.758
0.691 0.758 0.720
0.706 0.066 0.076
0.294 0.076 0.066
0.761 0.907 0.569
0.239 0.569 0.907
0.132 0.001 0.130
0.868 0.130 0.001
0.373 0.208 0.586
0.627 0.586 0.208

Entry 2:
Mg3MnRh4 (PBE, relaxed); formation energy = -0.42 eV/atom; space-group type = Pmmm, No. 47; final energy = -0.21479 Ha/atom; density of states at the Fermi level = 4.3 states/eV per cell
1.0
-1.251 -2.250 1.726
2.520 -2.943 -2.010
6.190 1.182 6.029
Mg Mn Rh
3 1 4
Direct
0.500 0.000 0.250
0.500 0.500 0.500
0.500 0.000 0.750
0.500 0.500 0.000
0.000 0.000 0.500
0.000 0.500 0.764
0.000 0.000 0.000
0.000 0.500 0.236

Entry 3:
Y5ThAu6 (PBE, relaxed); formation energy = -0.80 eV/atom; space-group type = Immm, No. 71; final energy = -0.21129 Ha/atom; density of states at the Fermi level = 7.9 states/eV per cell
1.0
-2.574 -3.308 3.017
-0.075 -4.803 -5.331
8.040 1.139 3.690
Y Au Th
5 6 1
Direct
0.669 0.169 0.339
0.333 0.333 0.667
0.000 0.500 0.000
0.667 0.667 0.333
0.331 0.831 0.661
0.832 0.580 0.664
0.832 0.084 0.664
0.500 0.744 0.000
0.500 0.256 0.000
0.168 0.916 0.336
0.168 0.420 0.336
0.000 0.000 0.000